# 1
# Ba2NpNiS6

Ba2NpNiS6 after structural relaxation (PBE, Alexandria).

```
Ba2NpNiS6
1.0
-3.694 -0.310 -3.465
-0.729 -4.873 1.213
-6.296 2.557 6.483
S Np Ni Ba
6 1 1 2
direct
0.000 0.500 0.500 S
0.500 0.000 0.000 S
0.500 0.500 0.734 S
0.500 0.000 0.500 S
0.500 0.500 0.266 S
0.000 0.500 0.000 S
0.500 0.500 0.000 Np
0.500 0.500 0.500 Ni
0.000 0.000 0.719 Ba
0.000 0.000 0.281 Ba
```

Values from the calculation:
Crystal system: tetragonal
Final energy, eV for the cell shown: -59.76

---

# 2
# Ba2NpNiS5

Ba2NpNiS5 after structural relaxation (PBE, Alexandria).

```
Ba2NpNiS5
1.0
-3.553 -1.399 1.410
4.875 -7.635 -1.168
4.429 0.974 12.125
S Np Ba Ni
10 2 4 2
direct
0.048 0.096 0.995 S
0.305 0.610 0.386 S
0.340 0.680 0.020 S
0.660 0.320 0.520 S
0.695 0.390 0.886 S
0.504 0.008 0.776 S
0.496 0.992 0.276 S
0.694 0.387 0.160 S
0.952 0.904 0.495 S
0.306 0.613 0.660 S
0.806 0.613 0.522 Np
0.194 0.387 0.022 Np
0.122 0.244 0.700 Ba
0.117 0.235 0.339 Ba
0.878 0.756 0.200 Ba
0.883 0.765 0.839 Ba
0.431 0.861 0.424 Ni
0.569 0.139 0.924 Ni
```

Values from the calculation:
Crystal system: orthorhombic
Final energy, eV for the cell shown: -112.32

---

# 3
# BaNp4Ni3Se12

BaNp4Ni3Se12 after structural relaxation (PBE, Alexandria).

```
BaNp4Ni3Se12
1.0
-6.510 -0.176 -5.884
2.348 -8.214 2.012
-2.723 4.124 7.253
Ni Se Np Ba
3 12 4 1
direct
0.500 0.500 0.000 Ni
0.500 0.000 0.500 Ni
0.000 0.500 0.500 Ni
0.518 0.675 0.843 Se
0.157 0.482 0.325 Se
0.843 0.168 0.325 Se
0.325 0.843 0.168 Se
0.675 0.157 0.832 Se
0.157 0.832 0.675 Se
0.832 0.675 0.157 Se
0.325 0.157 0.482 Se
0.843 0.518 0.675 Se
0.482 0.325 0.157 Se
0.168 0.325 0.843 Se
0.675 0.843 0.518 Se
0.500 0.000 0.000 Np
0.000 0.000 0.500 Np
0.500 0.500 0.500 Np
0.000 0.500 0.000 Np
0.000 0.000 0.000 Ba
```

Values from the calculation:
Crystal system: cubic
Final energy, eV for the cell shown: -127.93

---

# 4
# BaNpNiSe3

BaNpNiSe3 after structural relaxation (PBE, Alexandria).

```
BaNpNiSe3
1.0
4.139 0.000 0.000
-2.070 7.041 0.000
0.000 0.000 10.581
Ni Np Ba Se
2 2 2 6
direct
0.470 0.940 0.750 Ni
0.530 0.060 0.250 Ni
0.000 0.000 0.500 Np
0.000 0.000 0.000 Np
0.743 0.486 0.750 Ba
0.257 0.514 0.250 Ba
0.936 0.872 0.250 Se
0.633 0.265 0.066 Se
0.367 0.735 0.566 Se
0.367 0.735 0.934 Se
0.064 0.128 0.750 Se
0.633 0.265 0.434 Se
```

Values from the calculation:
Crystal system: orthorhombic
Final energy, eV for the cell shown: -77.33

---

# 5
# BaNpNi2Se4

BaNpNi2Se4 after structural relaxation (PBE, Alexandria).

```
BaNpNi2Se4
1.0
6.622 0.000 0.000
3.311 5.551 0.107
3.311 0.561 5.524
Ni Se Np Ba
2 4 1 1
direct
0.144 0.356 0.356 Ni
0.856 0.644 0.644 Ni
0.539 0.499 0.911 Se
0.949 0.501 0.089 Se
0.051 0.911 0.499 Se
0.461 0.089 0.501 Se
0.500 0.500 0.500 Np
0.000 0.000 0.000 Ba
```

Values from the calculation:
Crystal system: orthorhombic
Final energy, eV for the cell shown: -46.01

---

# 6
# BaNpNiSe4

BaNpNiSe4 after structural relaxation (PBE, Alexandria).

```
BaNpNiSe4
1.0
6.942 0.000 0.056
0.000 5.993 0.000
-2.658 0.000 8.554
Se Np Ba Ni
8 2 2 2
direct
0.018 0.509 0.719 Se
0.561 0.250 0.847 Se
0.439 0.750 0.153 Se
0.018 0.991 0.719 Se
0.982 0.491 0.281 Se
0.424 0.750 0.589 Se
0.982 0.009 0.281 Se
0.576 0.250 0.411 Se
0.262 0.250 0.555 Np
0.738 0.750 0.445 Np
0.256 0.250 0.062 Ba
0.744 0.750 0.938 Ba
0.758 0.250 0.670 Ni
0.242 0.750 0.330 Ni
```

Values from the calculation:
Crystal system: monoclinic
Final energy, eV for the cell shown: -84.62

---

# 7
# Ba2NpNiSe5

Ba2NpNiSe5 after structural relaxation (PBE, Alexandria).

```
Ba2NpNiSe5
1.0
-3.949 -1.281 0.862
0.644 -1.329 -9.456
4.478 -12.428 2.052
Se Ni Ba Np
10 2 4 2
direct
0.342 0.685 0.021 Se
0.658 0.315 0.521 Se
0.953 0.907 0.496 Se
0.302 0.604 0.381 Se
0.692 0.384 0.165 Se
0.504 0.008 0.772 Se
0.047 0.093 0.996 Se
0.308 0.616 0.665 Se
0.496 0.992 0.272 Se
0.698 0.396 0.881 Se
0.572 0.144 0.922 Ni
0.428 0.856 0.422 Ni
0.884 0.768 0.841 Ba
0.875 0.751 0.203 Ba
0.116 0.232 0.341 Ba
0.125 0.249 0.703 Ba
0.806 0.612 0.523 Np
0.194 0.388 0.023 Np
```

Values from the calculation:
Crystal system: orthorhombic
Final energy, eV for the cell shown: -103.64